(1)
Density functional theory data (PBE) for an optimized crystal structure of TbLuAu2.

The structure belongs to space group Fm-3m (No. 225); the cell edges are 7.149, 7.149 and 7.149 Å and the angles 90.00°, 90.00° and 90.00°. The asymmetric unit holds Tb at (0.000, 0.000, 0.000), Lu at (0.000, 0.000, 0.500) and Au at (0.250, 0.250, 0.250).

The value obtained for the density is 13.23 g cm⁻³. The calculation puts the magnetic moment at 0.0000 μB/atom. The calculation puts the formation energy at -0.86 eV per atom.

(2)
Density functional theory data (PBE) for an optimized crystal structure of TbLuTlAu.

The structure belongs to space group F-43m (No. 216); the cell edges are 7.357, 7.357 and 7.357 Å and the angles 90.00°, 90.00° and 90.00°. The asymmetric unit holds Tb at (0.000, 0.000, 0.000), Lu at (0.000, 0.000, 0.500), Tl at (0.250, 0.250, 0.250) and Au at (0.250, 0.250, 0.750).

The value obtained for the density is 12.26 g cm⁻³. The calculation puts the magnetic moment at 0.0000 μB/atom. The calculation puts the formation energy at -0.56 eV per atom.

(3)
Density functional theory data (PBE) for an optimized crystal structure of Lu2TcAu.

The structure belongs to space group Fm-3m (No. 225); the cell edges are 6.859, 6.859 and 6.859 Å and the angles 90.00°, 90.00° and 90.00°. The asymmetric unit holds Lu at (0.250, 0.250, 0.250), Tc at (0.000, 0.000, 0.000) and Au at (0.000, 0.000, 0.500).

The value obtained for the density is 13.28 g cm⁻³. The calculation puts the magnetic moment at 0.0001 μB/atom. The calculation puts the formation energy at -0.45 eV per atom.

(4)
Density functional theory data (PBE) for an optimized crystal structure of Lu2TcAu.

The structure belongs to space group P4/mmm (No. 123); the cell edges are 3.438, 3.438 and 6.910 Å and the angles 90.00°, 90.00° and 90.00°. The asymmetric unit holds Lu at (0.000, 0.000, 0.231), Tc at (0.500, 0.500, 0.000) and Au at (0.500, 0.500, 0.500).

The value obtained for the density is 13.11 g cm⁻³. The calculation puts the magnetic moment at 0.0001 μB/atom. The calculation puts the formation energy at -0.51 eV per atom.

(5)
Density functional theory data (PBE) for an optimized crystal structure of TmLuTcAu.

The structure belongs to space group F-43m (No. 216); the cell edges are 6.885, 6.885 and 6.885 Å and the angles 90.00°, 90.00° and 90.00°. The asymmetric unit holds Tm at (0.000, 0.000, 0.000), Lu at (0.000, 0.000, 0.500), Tc at (0.250, 0.250, 0.250) and Au at (0.250, 0.250, 0.750).

The value obtained for the density is 13.00 g cm⁻³. The calculation puts the magnetic moment at 0.0000 μB/atom. The calculation puts the formation energy at -0.43 eV per atom.

(6)
Density functional theory data (PBE) for an optimized crystal structure of LuZrTcAu.

The structure belongs to space group F-43m (No. 216); the cell edges are 6.793, 6.793 and 6.793 Å and the angles 90.00°, 90.00° and 90.00°. The asymmetric unit holds Lu at (0.000, 0.000, 0.000), Zr at (0.000, 0.000, 0.500), Tc at (0.250, 0.250, 0.250) and Au at (0.250, 0.250, 0.750).

The value obtained for the density is 11.89 g cm⁻³. The calculation puts the magnetic moment at 0.0001 μB/atom. The calculation puts the formation energy at -0.42 eV per atom.

(7)
Density functional theory data (PBE) for an optimized crystal structure of LuTeAu4.

The structure belongs to space group F-43m (No. 216); the cell edges are 7.976, 7.976 and 7.976 Å and the angles 90.00°, 90.00° and 90.00°. The asymmetric unit holds Lu at (0.000, 0.000, 0.000), Te at (0.250, 0.250, 0.250) and Au at (0.125, 0.125, 0.625).

The value obtained for the density is 14.28 g cm⁻³. The calculation puts the magnetic moment at 0.0000 μB/atom. The uncorrected formation energy comes out at -34 kJ per mole of atoms.

(8)
Density functional theory data (PBE) for an optimized crystal structure of Lu5Te2Au2.

The structure belongs to space group Cmce (No. 64); the cell edges are 15.154, 7.841 and 7.835 Å and the angles 90.00°, 90.00° and 90.00°. The asymmetric unit holds Lu at (0.000, 0.000, 0.000), Lu at (0.121, 0.162, 0.340), Te at (0.209, 0.000, 0.000) and Au at (0.000, 0.137, 0.636).

The value obtained for the density is 10.87 g cm⁻³. The calculation puts the magnetic moment at 0.0000 μB/atom. The uncorrected formation energy comes out at -93 kJ per mole of atoms.

(9)
Density functional theory data (PBE) for an optimized crystal structure of LuTe2Au.

The structure belongs to space group R-3m (No. 166, hexagonal axes); the cell edges are 4.4734, 4.4734 and 25.1857 Å and the angles 90.00°, 90.00° and 120.00°. The asymmetric unit holds Lu at (0.0000, 0.0000, 0.0000), Te at (0.0000, 0.0000, 0.3971) and Au at (0.0000, 0.0000, 0.5000).

The value obtained for the density is 7.16 g cm⁻³. The calculation puts the magnetic moment at 0.0000 μB/atom. The uncorrected formation energy comes out at -75 kJ per mole of atoms.

(10)
Density functional theory data (PBE) for an optimized crystal structure of LuThAu.

The structure belongs to space group F-43m (No. 216); the cell edges are 7.084, 7.084 and 7.084 Å and the angles 90.00°, 90.00° and 90.00°. The asymmetric unit holds Lu at (0.000, 0.000, 0.000), Th at (0.000, 0.000, 0.500) and Au at (0.250, 0.250, 0.250).

The value obtained for the density is 11.28 g cm⁻³. The calculation puts the magnetic moment at 0.0001 μB/atom. The calculation puts the formation energy at -0.26 eV per atom.

(11)
Density functional theory data (PBE) for an optimized crystal structure of LuTh2Au.

The structure belongs to space group P4/mmm (No. 123); the cell edges are 3.590, 3.590 and 8.972 Å and the angles 90.00°, 90.00° and 90.00°. The asymmetric unit holds Lu at (0.000, 0.000, 0.000), Th at (0.500, 0.500, 0.279) and Au at (0.000, 0.000, 0.500).

The value obtained for the density is 12.01 g cm⁻³. The calculation puts the magnetic moment at 0.0002 μB/atom. The calculation puts the formation energy at -0.23 eV per atom.

(12)
Density functional theory data (PBE) for an optimized crystal structure of Lu2ThAu.

The structure belongs to space group P4/mmm (No. 123); the cell edges are 3.562, 3.562 and 8.285 Å and the angles 90.00°, 90.00° and 90.00°. The asymmetric unit holds Lu at (0.000, 0.000, 0.205), Th at (0.500, 0.500, 0.500) and Au at (0.500, 0.500, 0.000).

The value obtained for the density is 12.30 g cm⁻³. The calculation puts the magnetic moment at 0.0000 μB/atom. The calculation puts the formation energy at -0.43 eV per atom.

(13)
Density functional theory data (PBE) for an optimized crystal structure of LuThAu.

The structure belongs to space group P3m1 (No. 156); the cell edges are 4.9208, 4.9208 and 3.8800 Å and the angles 90.00°, 90.00° and 120.00°. The asymmetric unit holds Lu at (0.0000, 0.0000, 0.0000), Th at (0.6667, 0.3333, 0.5023) and Au at (0.3333, 0.6667, 0.0325).

The value obtained for the density is 12.33 g cm⁻³. The calculation puts the magnetic moment at 0.0003 μB/atom. The calculation puts the formation energy at -0.28 eV per atom.

(14)
Density functional theory data (PBE) for an optimized crystal structure of Lu2ThAu.

The structure belongs to space group R-3m (No. 166, hexagonal axes); the cell edges are 3.4860, 3.4860 and 32.9011 Å and the angles 90.00°, 90.00° and 120.00°. The asymmetric unit holds Lu at (0.0000, 0.0000, 0.1027), Th at (0.0000, 0.0000, 0.0000) and Au at (0.0000, 0.0000, 0.5000).

The value obtained for the density is 11.21 g cm⁻³. The calculation puts the magnetic moment at 0.0001 μB/atom. The calculation puts the formation energy at -0.06 eV per atom.

(15)
Density functional theory data (PBE) for an optimized crystal structure of LuThAu.

The structure belongs to space group I4mm (No. 107); the cell edges are 3.549, 3.549 and 12.579 Å and the angles 90.00°, 90.00° and 90.00°. The asymmetric unit holds Lu at (0.000, 0.000, 0.000), Th at (0.000, 0.000, 0.699) and Au at (0.000, 0.000, 0.373).

The value obtained for the density is 12.66 g cm⁻³. The calculation puts the magnetic moment at 0.0009 μB/atom. The calculation puts the formation energy at -0.47 eV per atom.